# LaZnInS3 (PBE, relaxed)
# Symmetry ... Cmcm, No. 63
# Final energy ... -56.72 eV per cell
# Distance to the lowest polymorph of the same formula ... 0.022 eV/atom
data_LaZnInS3
_chemical_formula_sum 'La2 Zn2 In2 S6'
_space_group_name_H-M_alt 'P 1'
_space_group_IT_number 1
_space_group_name_Hall 'P 1'
_cell_length_a 7.276
_cell_length_b 7.276
_cell_length_c 11.142
_cell_angle_alpha 90.00
_cell_angle_beta 90.00
_cell_angle_gamma 147.09
loop_
_atom_site_label
_atom_site_type_symbol
_atom_site_fract_x
_atom_site_fract_y
_atom_site_fract_z
La1 La 0.000 0.000 0.000
La2 La 0.000 0.000 0.500
Zn1 Zn 0.463 0.537 0.750
Zn2 Zn 0.537 0.463 0.250
In1 In 0.250 0.750 0.250
In2 In 0.750 0.250 0.750
S1 S 0.061 0.939 0.750
S2 S 0.370 0.630 0.576
S3 S 0.370 0.630 0.924
S4 S 0.630 0.370 0.076
S5 S 0.630 0.370 0.424
S6 S 0.939 0.061 0.250